Entry 1:
Below is a relaxed MgBC crystal, with properties calculated at the PBE-GGA level.

Results
Its formation energy is 0.1 eV/f.u. The calculation puts the volume at 9.0 A^3/atom. As for the symmetry: P-6m2. Its density of states at the Fermi level is 0.40 states/eV/f.u. The calculation puts the calculated total energy at -5.79 eV/atom.

Geometry as POSCAR:
```
MgBC
1.0
2.849 0.000 0.000
-1.425 2.468 0.000
0.000 0.000 3.821
Mg B C
1 1 1
Direct
0.000 0.000 0.000
0.333 0.667 0.500
0.667 0.333 0.500
```

Entry 2:
Below is a relaxed Pm2FeGe3Ir4 crystal, with properties calculated at the PBE-GGA level.

Results
Its formation energy is -6.8 eV/f.u. The calculation puts the volume at 18.2 A^3/atom. As for the symmetry: P-4m2. Its density of states at the Fermi level is 5.81 states/eV/f.u. The calculation puts the calculated total energy at -7.41 eV/atom.

Geometry as POSCAR:
```
Pm2FeGe3Ir4
1.0
4.200 0.000 0.000
0.000 4.200 0.000
0.000 0.000 10.333
Pm Fe Ge Ir
2 1 3 4
Direct
0.000 0.500 0.246
0.500 0.000 0.754
0.500 0.500 0.000
0.000 0.000 0.000
0.000 0.500 0.631
0.500 0.000 0.369
0.000 0.000 0.500
0.000 0.500 0.869
0.500 0.000 0.131
0.500 0.500 0.500
```

Entry 3:
Below is a relaxed ScCo2Te crystal, with properties calculated at the PBE-GGA level.

Results
The calculation puts the volume at 17.3 A^3/atom. As for the symmetry: R-3m. Its density of states at the Fermi level is 4.49 states/eV/f.u. The calculation puts the calculated total energy at -5.67 eV/atom. As for the uncorrected formation energy: 248 meV per atom.

Geometry as POSCAR:
```
ScCo2Te
1.0
1.622 0.936 7.581
-1.622 0.936 7.581
0.000 -1.873 7.581
Sc Co Te
1 2 1
Direct
0.000 0.000 0.000
0.247 0.247 0.247
0.753 0.753 0.753
0.500 0.500 0.500
```

Entry 4:
Below is a relaxed SrPrDy4S8 crystal, with properties calculated at the PBE-GGA level.

Results
The calculation puts the volume at 28.1 A^3/atom. As for the symmetry: R3m. Its density of states at the Fermi level is 3.61 states/eV/f.u. The calculation puts the calculated total energy at -6.12 eV/atom. As for the uncorrected formation energy: -1982 meV per atom.

Geometry as POSCAR:
```
SrPrDy4S8
1.0
4.089 2.361 6.787
-4.089 2.361 6.787
0.000 -4.721 6.787
Sr Pr Dy S
1 1 4 8
Direct
0.000 0.000 0.000
0.628 0.628 0.628
0.121 0.628 0.628
0.252 0.252 0.252
0.628 0.121 0.628
0.628 0.628 0.121
0.377 0.377 0.858
0.377 0.858 0.377
0.384 0.384 0.384
0.416 0.869 0.869
0.858 0.377 0.377
0.862 0.862 0.862
0.869 0.416 0.869
0.869 0.869 0.416
```